A) The following is a PBE-GGA calculation of a geometry-optimized AlMoSeBr2 structure, from Alexandria.

Output
D(E_F) = 1.56 states/eV/cell
total moment = 4.72 μB per formula unit

Lattice parameters (Å, degrees): 4.979 4.979 5.165 90.00 90.00 90.00
Element x y z (fractional)
Mo1 0.500 0.500 0.500
Se1 0.000 0.000 0.500
Br1 0.000 0.500 0.000
Br2 0.500 0.000 0.000
Al1 0.000 0.000 0.000

---

B) The following is a PBE-GGA calculation of a geometry-optimized AlMoSeBr2 structure, from Alexandria.

Output
D(E_F) = 2.07 states/eV/cell
total moment = 2.55 μB per formula unit

Lattice parameters (Å, degrees): 5.355 5.355 4.929 90.00 90.00 90.00
Element x y z (fractional)
Mo1 0.000 0.000 0.000
Se1 0.000 0.000 0.500
Br1 0.000 0.500 0.000
Br2 0.500 0.000 0.000
Al1 0.500 0.500 0.500

---

Stability comparison, relative energies in eV/atom: A) 0.284; B) 0.000

---

A) The following is a PBE-GGA calculation of a geometry-optimized Al2ZnMoBr structure, from Alexandria.

Output
D(E_F) = 2.69 states/eV/cell
total moment = 4.68 μB per formula unit

Lattice parameters (Å, degrees): 4.728 5.528 4.728 90.00 90.00 90.00
Element x y z (fractional)
Mo1 0.500 0.500 0.500
Zn1 0.000 0.000 0.000
Br1 0.000 0.500 0.000
Al1 0.000 0.000 0.500
Al2 0.500 0.000 0.000

---

B) The following is a PBE-GGA calculation of a geometry-optimized Al2ZnMoBr structure, from Alexandria.

Output
D(E_F) = 3.54 states/eV/cell
total moment = 3.89 μB per formula unit

Lattice parameters (Å, degrees): 4.636 5.368 4.636 90.00 90.00 90.00
Element x y z (fractional)
Mo1 0.000 0.500 0.000
Zn1 0.000 0.000 0.000
Br1 0.500 0.500 0.500
Al1 0.000 0.000 0.500
Al2 0.500 0.000 0.000

---

Stability comparison, relative energies in eV/atom: A) 0.198; B) 0.000

---

A) The following is a PBE-GGA calculation of a geometry-optimized AlBr3N structure, from Alexandria.

Output
D(E_F) = 0.75 states/eV/cell
total moment = 3.01 μB per formula unit

Lattice parameters (Å, degrees): 5.083 5.083 5.083 90.00 90.00 90.00
Element x y z (fractional)
Al1 0.000 0.000 0.000
Br1 0.000 0.500 0.000
Br2 0.000 0.000 0.500
Br3 0.500 0.000 0.000
N1 0.500 0.500 0.500

---

B) The following is a PBE-GGA calculation of a geometry-optimized AlBr3N structure, from Alexandria.

Output
D(E_F) = 1.66 states/eV/cell
total moment = 0.00 μB per formula unit

Lattice parameters (Å, degrees): 4.781 4.781 4.781 90.00 90.00 90.00
Element x y z (fractional)
Al1 0.500 0.500 0.500
Br1 0.000 0.500 0.000
Br2 0.000 0.000 0.500
Br3 0.500 0.000 0.000
N1 0.000 0.000 0.000

---

C) The following is a PBE-GGA calculation of a geometry-optimized AlBr3N structure, from Alexandria.

Output
D(E_F) = 0.00 states/eV/cell
total moment = 2.96 μB per formula unit

Lattice parameters (Å, degrees): 8.046 10.659 11.079 115.90 132.33 39.67
Element x y z (fractional)
Al1 0.050 0.392 0.551
Al2 0.318 0.908 0.504
Br1 0.172 0.116 0.355
Br2 0.195 0.184 0.700
Br3 0.416 0.369 0.627
Br4 0.504 0.627 0.320
Br5 0.952 0.931 0.428
Br6 0.864 0.673 0.734
N1 0.694 0.460 0.021
N2 0.674 0.840 0.034

---

Stability comparison, relative energies in eV/atom: A) 0.287; B) 0.622; C) 0.000

---

A) The following is a PBE-GGA calculation of a geometry-optimized AlBrN2 structure, from Alexandria.

Output
D(E_F) = 1.01 states/eV/cell
total moment = 0.00 μB per formula unit

Lattice parameters (Å, degrees): 5.260 5.260 5.517 61.53 61.53 90.00
Element x y z (fractional)
Al1 0.500 0.500 0.000
Al2 0.250 0.750 0.500
Br1 0.000 0.000 0.000
Br2 0.750 0.250 0.500
N1 0.542 0.125 0.250
N2 0.208 0.625 0.250
N3 0.375 0.458 0.750
N4 0.875 0.792 0.750

---

B) The following is a PBE-GGA calculation of a geometry-optimized AlBrN2 structure, from Alexandria.

Output
D(E_F) = 1.31 states/eV/cell
total moment = 0.00 μB per formula unit

Lattice parameters (Å, degrees): 6.310 6.310 6.310 30.56 30.56 30.56
Element x y z (fractional)
Al1 0.000 0.000 0.000
Br1 0.500 0.500 0.500
N1 0.896 0.896 0.896
N2 0.104 0.104 0.104

---

C) The following is a PBE-GGA calculation of a geometry-optimized AlBrN2 structure, from Alexandria.

Output
D(E_F) = 3.63 states/eV/cell
total moment = 0.00 μB per formula unit

Lattice parameters (Å, degrees): 6.198 6.198 6.198 29.06 29.06 29.06
Element x y z (fractional)
Al1 0.500 0.500 0.500
Br1 0.000 0.000 0.000
N1 0.888 0.888 0.888
N2 0.112 0.112 0.112

---

Stability comparison, relative energies in eV/atom: A) 0.371; B) 1.174; C) 0.000

---

A) The following is a PBE-GGA calculation of a geometry-optimized Al3BrN structure, from Alexandria.

Output
D(E_F) = 6.86 states/eV/cell
total moment = 0.00 μB per formula unit

Lattice parameters (Å, degrees): 5.320 5.320 5.320 90.00 90.00 90.00
Element x y z (fractional)
Al1 0.000 0.500 0.000
Al2 0.000 0.000 0.500
Al3 0.500 0.000 0.000
Br1 0.000 0.000 0.000
N1 0.500 0.500 0.500

---

B) The following is a PBE-GGA calculation of a geometry-optimized Al3BrN structure, from Alexandria.

Output
D(E_F) = 1.84 states/eV/cell
total moment = 0.00 μB per formula unit

Lattice parameters (Å, degrees): 4.452 4.452 4.452 90.00 90.00 90.00
Element x y z (fractional)
Al1 0.000 0.500 0.000
Al2 0.000 0.000 0.500
Al3 0.500 0.000 0.000
Br1 0.500 0.500 0.500
N1 0.000 0.000 0.000

---

Stability comparison, relative energies in eV/atom: A) 1.551; B) 0.000

---

A) The following is a PBE-GGA calculation of a geometry-optimized AlSe2BrN structure, from Alexandria.

Output
D(E_F) = 2.96 states/eV/cell
total moment = 0.97 μB per formula unit

Lattice parameters (Å, degrees): 5.291 5.291 3.870 90.00 90.00 90.00
Element x y z (fractional)
N1 0.000 0.000 0.500
Se1 0.000 0.500 0.000
Se2 0.500 0.000 0.000
Br1 0.000 0.000 0.000
Al1 0.500 0.500 0.500

---

B) The following is a PBE-GGA calculation of a geometry-optimized AlSe2BrN structure, from Alexandria.

Output
D(E_F) = 2.75 states/eV/cell
total moment = 0.00 μB per formula unit

Lattice parameters (Å, degrees): 4.366 4.366 4.872 90.00 90.00 90.00
Element x y z (fractional)
N1 0.000 0.000 0.000
Se1 0.000 0.500 0.000
Se2 0.500 0.000 0.000
Br1 0.000 0.000 0.500
Al1 0.500 0.500 0.500

---

Stability comparison, relative energies in eV/atom: A) 0.537; B) 0.000